First-principles (PBE-GGA) data for a relaxed structure of Tb2Pa3S8, as listed in the Alexandria database.

Geometry as extended XYZ:
```
13
Lattice="7.0299 -3.9427 0.0000 7.0299 3.9427 0.0000 -2.0518 0.0000 6.1871" Properties=species:S:1:pos:R:3 pbc="T T T"
Tb 3.0386 0.0000 1.0175
Tb 8.9693 0.0000 5.1696
Pa 6.0040 1.9445 3.0936
Pa 7.0299 0.0000 0.0000
Pa 6.0040 -1.9445 3.0936
S 0.6950 0.0000 2.4872
S 5.0749 1.8623 0.5060
S 4.0887 0.0000 3.5582
S 6.9330 1.8623 5.6811
S 5.0749 -1.8623 0.5060
S 7.9192 0.0000 2.6290
S 6.9330 -1.8623 5.6811
S 11.3129 0.0000 3.7000
```

## Properties
E above lowest polymorph (meV per atom): 23
Formation energy (no corrections) (eV/atom): -1.68


First-principles (PBE-GGA) data for a relaxed structure of Tb6PaS12, as listed in the Alexandria database.

Geometry as extended XYZ:
```
19
Lattice="6.0209 3.4762 3.7710 -6.0209 3.4762 3.7710 0.0000 -6.9523 3.7710" Properties=species:S:1:pos:R:3 pbc="T T T"
Tb -3.0779 -2.9739 5.9564
Tb -4.1145 1.1786 5.3566
Tb 1.0366 -4.1525 5.3566
Tb -1.0366 4.1525 5.9564
Tb 4.1145 -1.1786 5.9564
Tb 3.0779 2.9739 5.3566
Pa 0.0000 0.0000 5.6565
S -1.5111 -5.0445 4.9526
S -5.1242 -1.2136 6.3604
S -2.1986 -0.4896 4.3107
S -3.6131 3.8309 4.9526
S 1.5233 -1.6592 4.3107
S -0.6753 -2.1488 7.0022
S 0.6753 2.1488 4.3107
S -1.5233 1.6592 7.0022
S 3.6131 -3.8309 6.3604
S 2.1986 0.4896 7.0022
S 5.1242 1.2136 4.9526
S 1.5111 5.0445 6.3604
```

## Properties
Formation energy (no corrections) (eV/atom): -1.87


First-principles (PBE-GGA) data for a relaxed structure of TbPa3S6, as listed in the Alexandria database.

Geometry as extended XYZ:
```
20
Lattice="10.9659 0.0000 0.0000 0.0000 3.8536 0.0000 -3.3464 0.0000 10.8851" Properties=species:S:1:pos:R:3 pbc="T T T"
Tb -0.1550 0.9634 2.0950
Tb 7.7746 2.8902 8.7901
Pa -0.2842 0.9634 6.2184
Pa 0.1463 2.8902 10.8613
Pa 3.5103 0.9634 3.6571
Pa 4.1093 2.8902 7.2280
Pa 7.4733 0.9634 0.0238
Pa 7.9038 2.8902 4.6667
S -0.3840 2.8902 4.2463
S -1.9377 0.9634 10.4886
S -0.3840 2.8902 8.1443
S 2.0249 2.8902 2.3673
S 2.4443 0.9634 6.2178
S 4.9599 0.9634 1.3542
S 2.6597 2.8902 9.5309
S 5.1752 2.8902 4.6673
S 5.5946 0.9634 8.5177
S 8.0036 0.9634 2.7408
S 9.5573 2.8902 0.3965
S 8.0036 0.9634 6.6388
```

## Properties
Formation energy (no corrections) (eV/atom): -1.65


First-principles (PBE-GGA) data for a relaxed structure of Tb5Pa3S8, as listed in the Alexandria database.

Geometry as extended XYZ:
```
16
Lattice="3.8906 2.2462 6.4692 -3.8906 2.2462 6.4692 0.0000 -4.4925 6.4692" Properties=species:S:1:pos:R:3 pbc="T T T"
Tb 0.0000 0.0000 0.0000
Tb -1.9453 -1.1231 6.4692
Tb -1.9453 1.1231 12.9384
Tb 0.0000 2.2462 6.4692
Tb 0.0000 0.0000 9.7038
Pa -3.8906 0.0000 9.7038
Pa -1.9453 1.1231 3.2346
Pa 1.9453 1.1231 3.2346
S 0.0000 -2.2427 8.0794
S -1.9422 1.1214 8.0794
S 0.0000 0.0000 4.8689
S -1.9422 -1.1214 11.3282
S 1.9422 1.1214 8.0794
S 0.0000 0.0000 14.5388
S 1.9422 -1.1214 11.3282
S 0.0000 2.2427 11.3282
```

## Properties
Formation energy (no corrections) (eV/atom): -1.83


First-principles (PBE-GGA) data for a relaxed structure of TbPa2S6, as listed in the Alexandria database.

Geometry as extended XYZ:
```
18
Lattice="6.8417 -4.6409 0.0000 6.8417 4.6409 0.0000 -1.8792 0.0000 7.2561" Properties=species:S:1:pos:R:3 pbc="T T T"
Tb 5.4323 2.5429 5.4421
Tb 6.3719 -2.5429 1.8140
Pa 3.3678 0.2878 0.9988
Pa 2.4282 -0.2878 4.6269
Pa 9.3761 0.2878 2.6293
Pa 8.4365 -0.2878 6.2573
S 0.1454 0.0612 5.9626
S 1.0850 -0.0612 2.3346
S 2.9696 1.8206 6.4872
S 4.2146 1.3871 3.2903
S 7.8951 1.8206 4.3970
S 8.5293 1.3871 0.3377
S 3.2750 -1.3871 6.9184
S 3.9092 -1.8206 2.8592
S 7.5897 -1.3871 3.9658
S 8.8347 -1.8206 0.7689
S 10.7192 0.0612 4.9216
S 11.6588 -0.0612 1.2935
```

## Properties
E above lowest polymorph (meV per atom): 0
Formation energy (no corrections) (eV/atom): -1.66


First-principles (PBE-GGA) data for a relaxed structure of Tb3PaS4, as listed in the Alexandria database.

Geometry as extended XYZ:
```
16
Lattice="7.8838 0.0000 0.0000 0.0000 11.0680 0.0000 0.0000 0.0000 3.8911" Properties=species:S:1:pos:R:3 pbc="T T T"
Tb 0.0000 0.0000 0.0000
Tb 1.9709 2.7670 1.9455
Tb 1.9709 8.3010 1.9455
Tb 3.9419 5.5340 0.0000
Tb 5.9128 2.7670 1.9455
Tb 5.9128 8.3010 1.9455
Pa 0.0000 5.5340 0.0000
Pa 3.9419 0.0000 0.0000
S 0.0000 2.7708 0.0000
S 0.0000 8.2972 0.0000
S 1.9643 0.0000 1.9455
S 1.9776 5.5340 1.9455
S 3.9419 2.7632 0.0000
S 3.9419 8.3049 0.0000
S 5.9062 5.5340 1.9455
S 5.9195 0.0000 1.9455
```

## Properties
Formation energy (no corrections) (eV/atom): -1.89


Looking at total moment for the records above, in order, we have 0.35, 0.00, 0.41, 0.11, 0.12, 0.00 μB per atom.
Looking at energy for the records above, in order, we have -7.122, -6.442, -7.436, -7.123, -7.037, -6.878 eV per atom.